Here is a geometry-optimized MgCd2Ag structure from Alexandria via LeMat-Bulk. Energies are from PBE-GGA.

```
MgCd2Ag
1.0
-4.967 -6.345 -0.992
1.024 -2.021 7.796
-4.178 -2.566 4.111
Mg Ag Cd
2 2 4
Direct
0.500 0.500 0.000 Mg
0.250 0.750 0.500 Mg
0.000 0.000 0.000 Ag
0.750 0.250 0.500 Ag
0.650 0.125 0.250 Cd
0.100 0.625 0.250 Cd
0.375 0.350 0.750 Cd
0.875 0.900 0.750 Cd
```

Computed properties:
The calculation puts the density at 6365 kg/m3. The magnetic moment is 0.000 μB per formula unit. For the formation energy, the calculation gives 9 kJ per mole of atoms. For the density of states at the Fermi level, the calculation gives 1.50 states/eV/f.u. For the total DFT energy (no corrections), the calculation gives -1.473 eV/atom.